Record 1
The following is a PBE-GGA calculation of Os2PdF after structural relaxation, from the Alexandria database.

Values from the calculation:
uncorrected formation energy	861	meV per atom
magnetization	0.000	μB/atom
Fermi-level density of states	0.982	states/eV/atom
volume	14.15	Å³/atom
offset from the most stable computed form	43.0	meV per atom

Cell lengths 6.7741, 6.7741, 4.9333 Å; angles 90.00, 90.00, 90.00 degrees
Atoms (fractional coordinates):
Os 0.1960 0.2500 0.1250
Os 0.2500 0.6960 0.3750
Os 0.2500 0.8040 0.8750
Os 0.3040 0.2500 0.6250
Os 0.6960 0.7500 0.6250
Os 0.7500 0.1960 0.8750
Os 0.7500 0.3040 0.3750
Os 0.8040 0.7500 0.1250
Pd 0.0000 0.0000 0.5000
Pd 0.0000 0.5000 0.7500
Pd 0.5000 0.0000 0.2500
Pd 0.5000 0.5000 0.0000
F 0.0000 0.0000 0.0000
F 0.0000 0.5000 0.2500
F 0.5000 0.0000 0.7500
F 0.5000 0.5000 0.5000

***

Record 2
The following is a PBE-GGA calculation of NaSrPrCl6 after structural relaxation, from the Alexandria database.

Values from the calculation:
uncorrected formation energy	-2216	meV per atom
magnetization	0.000	μB/atom
Fermi-level density of states	0.000	states/eV/atom
volume	32.03	Å³/atom

Cell lengths 7.3605, 7.3605, 12.2877 Å; angles 90.00, 90.00, 120.00 degrees
Atoms (fractional coordinates):
Na 0.0000 0.0000 0.0000
Na 0.0000 0.0000 0.5000
Sr 0.3333 0.6667 0.2500
Sr 0.6667 0.3333 0.7500
Pr 0.3333 0.6667 0.7500
Pr 0.6667 0.3333 0.2500
Cl 0.0141 0.3510 0.6275
Cl 0.0141 0.6631 0.8725
Cl 0.3369 0.3510 0.8725
Cl 0.3369 0.9859 0.6275
Cl 0.3510 0.0141 0.1275
Cl 0.3510 0.3369 0.3725
Cl 0.6490 0.6631 0.6275
Cl 0.6490 0.9859 0.8725
Cl 0.6631 0.0141 0.3725
Cl 0.6631 0.6490 0.1275
Cl 0.9859 0.3369 0.1275
Cl 0.9859 0.6490 0.3725

***

Record 3
The following is a PBE-GGA calculation of Ba3Li2Mg9 after structural relaxation, from the Alexandria database.

Values from the calculation:
DFT formation energy	-0.02	eV per atom
magnetization	0.000	μB/atom
Fermi-level density of states	0.838	states/eV/atom
volume	31.28	Å³/atom

Cell lengths 9.7123, 9.7123, 9.7123 Å; angles 148.17, 112.64, 76.44 degrees
Atoms (fractional coordinates):
Ba 0.0000 0.0000 0.0000
Ba 0.2961 0.2961 0.0000
Ba 0.7039 0.7039 0.0000
Li 0.3102 0.5000 0.8102
Li 0.6898 0.5000 0.1898
Mg 0.0170 0.6680 0.3490
Mg 0.1622 0.8746 0.2876
Mg 0.3190 0.6680 0.6510
Mg 0.4130 0.1254 0.2876
Mg 0.5000 0.0000 0.5000
Mg 0.5870 0.8746 0.7124
Mg 0.6810 0.3320 0.3490
Mg 0.8378 0.1254 0.7124
Mg 0.9830 0.3320 0.6510

***

Record 4
The following is a PBE-GGA calculation of Ce2Pb3 after structural relaxation, from the Alexandria database.

Values from the calculation:
DFT formation energy	-0.39	eV per atom
magnetization	0.324	μB/atom
Fermi-level density of states	2.711	states/eV/atom
volume	29.67	Å³/atom

Cell lengths 7.9280, 7.9280, 4.7209 Å; angles 90.00, 90.00, 90.00 degrees
Atoms (fractional coordinates):
Ce 0.1363 0.6961 0.0000
Ce 0.3039 0.1363 0.0000
Ce 0.6961 0.8637 0.0000
Ce 0.8637 0.3039 0.0000
Pb 0.0000 0.0000 0.5000
Pb 0.1841 0.3997 0.5000
Pb 0.3997 0.8159 0.5000
Pb 0.5000 0.5000 0.0000
Pb 0.6003 0.1841 0.5000
Pb 0.8159 0.6003 0.5000

***

Record 5
The following is a PBE-GGA calculation of Ac8Sm5Tm after structural relaxation, from the Alexandria database.

Values from the calculation:
DFT formation energy	0.27	eV per atom
magnetization	0.000	μB/atom
Fermi-level density of states	1.534	states/eV/atom
volume	41.15	Å³/atom

Cell lengths 9.0629, 9.0830, 9.0901 Å; angles 110.83, 106.88, 110.61 degrees
Atoms (fractional coordinates):
Ac 0.0000 0.0000 0.0000
Ac 0.0412 0.4674 0.7430
Ac 0.1344 0.4777 0.3442
Ac 0.2176 0.1337 0.5613
Ac 0.4105 0.0109 0.9182
Ac 0.5614 0.3442 0.4267
Ac 0.6423 0.8358 0.5206
Ac 0.8196 0.6432 0.1527
Sm 0.3052 0.8388 0.2084
Sm 0.3524 0.4397 0.0570
Sm 0.5047 0.6383 0.8105
Sm 0.7517 0.0381 0.2568
Sm 0.9787 0.7395 0.5837
Tm 0.7279 0.2401 0.8330

***

Record 6
The following is a PBE-GGA calculation of BaCdC3 after structural relaxation, from the Alexandria database.

Values from the calculation:
DFT formation energy	3.45	eV per atom
magnetization	0.371	μB/atom
Fermi-level density of states	0.910	states/eV/atom
volume	22.15	Å³/atom
offset from the most stable computed form	1030.8	meV per atom

Cell lengths 4.8026, 4.8026, 4.8026 Å; angles 90.00, 90.00, 90.00 degrees
Atoms (fractional coordinates):
Ba 0.0000 0.0000 0.0000
Cd 0.5000 0.5000 0.5000
C 0.0000 0.0000 0.5000
C 0.0000 0.5000 0.0000
C 0.5000 0.0000 0.0000

***

Record 7
The following is a PBE-GGA calculation of AcPrEr2 after structural relaxation, from the Alexandria database.

Values from the calculation:
DFT formation energy	0.10	eV per atom
magnetization	0.000	μB/atom
Fermi-level density of states	1.743	states/eV/atom
volume	35.55	Å³/atom
offset from the most stable computed form	57.1	meV per atom

Cell lengths 8.2856, 8.2856, 8.2856 Å; angles 90.00, 90.00, 90.00 degrees
Atoms (fractional coordinates):
Ac 0.0000 0.0000 0.0000
Ac 0.0000 0.5000 0.5000
Ac 0.5000 0.0000 0.5000
Ac 0.5000 0.5000 0.0000
Pr 0.0000 0.0000 0.5000
Pr 0.0000 0.5000 0.0000
Pr 0.5000 0.0000 0.0000
Pr 0.5000 0.5000 0.5000
Er 0.2500 0.2500 0.2500
Er 0.2500 0.2500 0.7500
Er 0.2500 0.7500 0.2500
Er 0.2500 0.7500 0.7500
Er 0.7500 0.2500 0.2500
Er 0.7500 0.2500 0.7500
Er 0.7500 0.7500 0.2500
Er 0.7500 0.7500 0.7500

***

Record 8
The following is a PBE-GGA calculation of Y2AgAuO5 after structural relaxation, from the Alexandria database.

Values from the calculation:
uncorrected formation energy	-1875	meV per atom
magnetization	0.000	μB/atom
volume	14.14	Å³/atom

Cell lengths 6.5951, 6.5951, 5.8522 Å; angles 90.00, 90.00, 90.00 degrees
Atoms (fractional coordinates):
Y 0.1761 0.3239 0.0000
Y 0.3239 0.8239 0.0000
Y 0.6761 0.1761 0.0000
Y 0.8239 0.6761 0.0000
Ag 0.0000 0.0000 0.5000
Ag 0.5000 0.5000 0.5000
Au 0.0000 0.5000 0.5000
Au 0.5000 0.0000 0.5000
O 0.0000 0.0000 0.0000
O 0.1356 0.6356 0.2354
O 0.1356 0.6356 0.7646
O 0.3644 0.1356 0.2354
O 0.3644 0.1356 0.7646
O 0.5000 0.5000 0.0000
O 0.6356 0.8644 0.2354
O 0.6356 0.8644 0.7646
O 0.8644 0.3644 0.2354
O 0.8644 0.3644 0.7646

***

Q: Among the records above, which one has the lowest volume?
A: Y2AgAuO5